No. 1
This record from Alexandria describes a relaxed structure of CsLi2HgF6. The functional is GGA-PBE.

The structure in POSCAR format:
```
CsLi2HgF6
1.0
7.3613 -0.4030 0.4312
-1.3012 7.2566 0.4312
-1.3122 -1.4840 6.2882
F Li Hg Cs
12 4 2 2
Cartesian
3.8500 1.2727 4.0137
3.3000 0.6507 6.2810
0.6859 1.6228 4.3697
6.6646 1.4464 2.0105
4.0620 3.7467 2.7810
2.5651 3.7482 5.9251
0.8979 4.0969 3.1369
2.1828 1.6214 1.2256
4.7845 -0.6800 1.9961
-1.9167 3.9232 5.1402
1.4479 4.7189 0.8696
-0.0366 6.0496 5.1546
0.8762 2.3086 2.4529
1.5279 0.4102 5.5970
3.8717 3.0609 4.6977
3.2200 4.9594 1.5536
0.3639 3.8011 5.1474
4.3840 1.5685 2.0033
-0.8090 6.1603 2.0033
5.5569 -0.7907 5.1474
```

- raw formation energy (eV/f.u.) = -21.59
- symmetry = No. 15
- calculated density (g/cm³) = 4.5
- uncorrected energy (eV per atom) = -3.780

No. 2
This record from Alexandria describes a relaxed structure of Cs2Li3HgF8. The functional is GGA-PBE.

The structure in POSCAR format:
```
Cs2Li3HgF8
1.0
6.4932 0.0000 0.0000
3.2466 5.6233 0.0000
3.2466 1.8744 6.9536
F Li Cs Hg
8 3 2 1
Cartesian
8.0631 2.8424 6.3904
9.7398 5.6233 3.2330
6.4932 5.5616 6.3904
4.9233 2.8424 6.3904
7.8113 4.5099 1.2797
3.2466 1.8744 1.5384
6.4932 2.2268 1.2797
5.1751 4.5099 1.2797
3.2466 0.2373 0.5196
1.8288 2.6930 0.5196
4.6644 2.6930 0.5196
3.2466 1.8744 4.2561
6.4932 3.7488 3.8406
9.7398 5.6233 0.9599
```

- raw formation energy (eV/f.u.) = -32.08
- symmetry = No. 160
- calculated density (g/cm³) = 4.2
- uncorrected energy (eV per atom) = -3.915

No. 3
This record from Alexandria describes a relaxed structure of CsLiHg2F8. The functional is GGA-PBE.

The structure in POSCAR format:
```
CsLiHg2F8
1.0
-4.7306 0.8751 0.2032
-0.5777 -0.6997 -4.9256
-1.4254 -8.9947 0.9319
F Hg Cs Li
8 2 1 1
Cartesian
-2.2616 -7.8341 -3.0632
-3.0546 -8.8012 -0.3275
-1.6910 -2.1827 -3.5994
-3.6791 -0.0181 -3.4631
-4.4721 -0.9852 -0.7274
-2.8715 -3.3463 -1.0687
-5.0427 -6.6367 -0.1912
-3.8622 -5.4731 -2.7218
-3.6212 -7.2106 -1.6053
-3.1125 -1.6088 -2.1853
-0.7127 -4.4974 0.4659
0.0000 0.0000 0.0000
```

- raw formation energy (eV/f.u.) = -20.49
- symmetry = No. 2
- calculated density (g/cm³) = 5.2
- uncorrected energy (eV per atom) = -3.236

No. 4
This record from Alexandria describes a relaxed structure of Cs2LiHgF6. The functional is GGA-PBE.

The structure in POSCAR format:
```
Cs2LiHgF6
1.0
-4.9345 -3.5013 -1.7365
3.4794 -5.2094 0.6167
-1.9870 -4.6925 3.6985
F Li Cs Hg
6 1 2 1
Cartesian
-1.3518 -4.5224 1.5508
-0.3686 -2.2064 -0.2837
-2.0903 -8.8808 1.0279
1.3482 -4.7767 0.0206
-1.0865 -6.5043 -0.8362
-2.8033 -3.9340 -1.1405
-0.7276 -4.3554 -0.5599
0.3824 -7.1286 1.8776
-3.8245 -6.2746 0.7010
0.0000 0.0000 0.0000
```

- raw formation energy (eV/f.u.) = -21.66
- symmetry = No. 139
- calculated density (g/cm³) = 5.5
- uncorrected energy (eV per atom) = -3.681